{"formula": "NdDy3Zn", "functional": "GGA-PBE", "state": "optimized geometry", "cell": [[-5.627, 2.282, -4.908], [-2.364, -1.738, 7.235], [5.149, 4.713, 1.631]], "species": ["Dy", "Dy", "Dy", "Zn", "Nd", "Dy", "Zn", "Dy", "Nd", "Dy"], "frac_coords": [[0.823, 0.114, 0.344], [0.230, 0.521, 0.344], [0.688, 0.420, 0.108], [0.330, 0.272, 0.602], [0.254, 0.951, 0.204], [0.770, 0.479, 0.656], [0.670, 0.728, 0.398], [0.177, 0.886, 0.656], [0.746, 0.049, 0.796], [0.312, 0.580, 0.892]], "vol_a3_per_atom": 31.24, "mass_density_g_cm3": 7.4, "e_form_ev_per_atom": 0.049, "sg": "C2/m"}

***

{"formula": "NdDy4Zn4", "functional": "GGA-PBE", "state": "optimized geometry", "cell": [[-1.420, -4.858, 0.753], [9.041, -2.376, 1.719], [-1.282, 1.807, 9.243]], "species": ["Zn", "Zn", "Dy", "Dy", "Dy", "Dy", "Nd", "Nd", "Zn", "Zn", "Zn", "Zn", "Dy", "Dy", "Dy", "Dy", "Zn", "Zn"], "frac_coords": [[0.500, 0.817, 0.921], [0.500, 0.079, 0.817], [0.500, 0.151, 0.393], [0.000, 0.349, 0.107], [0.500, 0.607, 0.151], [0.500, 0.393, 0.849], [0.500, 0.500, 0.500], [0.000, 0.000, 0.000], [0.500, 0.921, 0.183], [0.000, 0.579, 0.317], [0.000, 0.683, 0.579], [0.000, 0.421, 0.683], [0.000, 0.107, 0.651], [0.000, 0.893, 0.349], [0.000, 0.651, 0.893], [0.500, 0.849, 0.607], [0.000, 0.317, 0.421], [0.500, 0.183, 0.079]], "vol_a3_per_atom": 25.68, "mass_density_g_cm3": 7.6, "e_form_ev_per_atom": -0.139, "sg": "I4/m"}

***

{"formula": "Nd5DyZn6", "functional": "GGA-PBE", "state": "optimized geometry", "cell": [[4.902, -0.029, 1.643], [0.040, 7.337, 0.013], [0.000, -0.015, 8.215]], "species": ["Zn", "Nd", "Nd", "Dy", "Zn", "Nd", "Zn", "Zn", "Nd", "Zn", "Zn", "Nd"], "frac_coords": [[0.500, 0.758, 0.000], [0.668, 0.500, 0.664], [0.332, 0.500, 0.336], [0.000, 0.000, 0.000], [0.163, 0.754, 0.674], [0.666, 0.000, 0.668], [0.837, 0.754, 0.326], [0.500, 0.242, 0.000], [0.334, 0.000, 0.332], [0.837, 0.246, 0.326], [0.163, 0.246, 0.674], [0.000, 0.500, 0.000]], "vol_a3_per_atom": 24.63, "mass_density_g_cm3": 7.2, "e_form_ev_per_atom": -0.310, "sg": "P2/m"}

***

{"formula": "NdDy6Zn2", "functional": "GGA-PBE", "state": "optimized geometry", "cell": [[3.594, 0.000, 0.571], [1.577, 6.077, 1.668], [0.006, -0.108, 11.565]], "species": ["Dy", "Dy", "Dy", "Dy", "Dy", "Dy", "Zn", "Zn", "Nd"], "frac_coords": [[0.978, 0.711, 0.333], [0.687, 0.213, 0.412], [0.313, 0.787, 0.588], [0.691, 0.493, 0.126], [0.022, 0.289, 0.667], [0.309, 0.507, 0.874], [0.348, 0.091, 0.212], [0.652, 0.909, 0.788], [0.000, 0.000, 0.000]], "vol_a3_per_atom": 28.12, "mass_density_g_cm3": 8.2, "e_form_ev_per_atom": -0.139, "sg": "C2/m"}

***

{"formula": "Nd2Dy6Zn", "functional": "GGA-PBE", "state": "optimized geometry", "cell": [[5.429, 0.000, 0.237], [0.000, 9.775, 0.000], [-0.448, 0.000, 10.229]], "species": ["Zn", "Dy", "Nd", "Dy", "Dy", "Dy", "Dy", "Nd", "Dy", "Dy", "Dy", "Dy", "Dy", "Nd", "Nd", "Dy", "Dy", "Zn"], "frac_coords": [[0.500, 0.500, 0.000], [0.000, 0.985, 0.812], [0.000, 0.311, 0.751], [0.000, 0.690, 0.574], [0.000, 0.310, 0.426], [0.000, 0.365, 0.103], [0.500, 0.865, 0.397], [0.500, 0.811, 0.749], [0.000, 0.635, 0.897], [0.500, 0.135, 0.603], [0.500, 0.515, 0.312], [0.500, 0.810, 0.074], [0.000, 0.015, 0.188], [0.500, 0.189, 0.251], [0.000, 0.689, 0.249], [0.500, 0.190, 0.926], [0.500, 0.485, 0.688], [0.000, 0.000, 0.500]], "vol_a3_per_atom": 30.21, "mass_density_g_cm3": 8.1, "e_form_ev_per_atom": 0.029, "sg": "Pnnm"}

***

{"formula": "Nd2DyZn6", "functional": "GGA-PBE", "state": "optimized geometry", "cell": [[3.575, 0.000, 0.000], [0.000, 6.822, -3.939], [0.000, 0.000, 7.878]], "species": ["Zn", "Nd", "Nd", "Dy", "Zn", "Zn", "Zn", "Zn", "Zn"], "frac_coords": [[0.500, 0.000, 0.670], [0.000, 0.333, 0.667], [0.000, 0.667, 0.333], [0.000, 0.000, 0.000], [0.500, 0.670, 0.670], [0.500, 0.000, 0.330], [0.500, 0.670, 0.000], [0.500, 0.330, 0.330], [0.500, 0.330, 0.000]], "vol_a3_per_atom": 21.35, "mass_density_g_cm3": 7.3, "e_form_ev_per_atom": -0.355, "sg": "P6/mmm"}

***

{"formula": "Nd2DyZn", "functional": "GGA-PBE", "state": "optimized geometry", "cell": [[-0.193, -3.447, -3.825], [5.004, 0.776, -0.952], [-0.345, -5.035, 8.026]], "species": ["Zn", "Nd", "Nd", "Nd", "Zn", "Dy", "Nd", "Dy"], "frac_coords": [[0.250, 0.750, 0.500], [0.355, 0.355, 0.710], [0.500, 0.000, 0.000], [0.000, 0.500, 0.000], [0.750, 0.250, 0.500], [0.150, 0.150, 0.300], [0.645, 0.645, 0.290], [0.850, 0.850, 0.700]], "vol_a3_per_atom": 29.05, "mass_density_g_cm3": 7.4, "e_form_ev_per_atom": -0.155, "sg": "I4/mmm"}

***

{"formula": "Nd8Dy2Zn", "functional": "GGA-PBE", "state": "optimized geometry", "cell": [[0.379, 5.028, -2.634], [-3.541, -2.349, -4.993], [-8.045, 0.588, 6.106]], "species": ["Dy", "Nd", "Nd", "Nd", "Nd", "Nd", "Nd", "Nd", "Dy", "Nd", "Zn"], "frac_coords": [[0.763, 0.666, 0.526], [0.040, 0.251, 0.080], [0.420, 0.393, 0.840], [0.843, 0.192, 0.686], [0.580, 0.607, 0.160], [0.656, 0.119, 0.312], [0.344, 0.881, 0.688], [0.157, 0.808, 0.314], [0.237, 0.334, 0.474], [0.960, 0.749, 0.920], [0.500, 0.000, 0.000]], "vol_a3_per_atom": 32.87, "mass_density_g_cm3": 7.1, "e_form_ev_per_atom": -0.015, "sg": "C2/m"}

***

{"formula": "Nd2DyZn", "functional": "GGA-PBE", "state": "optimized geometry", "cell": [[5.453, 0.000, 0.000], [2.726, 4.722, 0.000], [2.726, 1.574, 4.452]], "species": ["Nd", "Zn", "Nd", "Dy"], "frac_coords": [[0.250, 0.250, 0.250], [0.000, 0.000, 0.000], [0.750, 0.750, 0.750], [0.500, 0.500, 0.500]], "vol_a3_per_atom": 28.66, "mass_density_g_cm3": 7.5, "e_form_ev_per_atom": 0.032, "sg": "Fm-3m"}

***

{"formula": "Nd4Dy5Zn", "functional": "GGA-PBE", "state": "optimized geometry", "cell": [[3.602, 0.000, 0.000], [0.000, 3.602, 0.000], [0.000, 0.000, 24.057]], "species": ["Nd", "Dy", "Nd", "Dy", "Dy", "Nd", "Dy", "Zn", "Dy", "Nd"], "frac_coords": [[0.000, 0.000, 0.606], [0.500, 0.500, 0.287], [0.000, 0.000, 0.394], [0.500, 0.500, 0.500], [0.500, 0.500, 0.073], [0.000, 0.000, 0.819], [0.500, 0.500, 0.927], [0.000, 0.000, 0.000], [0.500, 0.500, 0.713], [0.000, 0.000, 0.181]], "vol_a3_per_atom": 31.21, "mass_density_g_cm3": 7.7, "e_form_ev_per_atom": -0.055, "sg": "P4/mmm"}

***

{"formula": "Nd2DyZn", "functional": "GGA-PBE", "state": "optimized geometry", "cell": [[3.665, 0.000, 0.000], [0.000, 3.665, 0.000], [0.000, 0.000, 8.743]], "species": ["Dy", "Nd", "Nd", "Zn"], "frac_coords": [[0.500, 0.500, 0.500], [0.000, 0.000, 0.789], [0.000, 0.000, 0.211], [0.500, 0.500, 0.000]], "vol_a3_per_atom": 29.36, "mass_density_g_cm3": 7.3, "e_form_ev_per_atom": -0.139, "sg": "P4/mmm"}

***

{"formula": "NdDy4Zn5", "functional": "GGA-PBE", "state": "optimized geometry", "cell": [[-1.421, 1.024, 3.131], [-1.871, -3.058, 0.151], [13.583, -7.879, 8.742]], "species": ["Dy", "Dy", "Zn", "Zn", "Zn", "Zn", "Nd", "Dy", "Dy", "Zn"], "frac_coords": [[0.000, 0.000, 0.204], [0.000, 0.000, 0.796], [0.500, 0.500, 0.698], [0.500, 0.500, 0.500], [0.500, 0.500, 0.108], [0.500, 0.500, 0.892], [0.000, 0.000, 0.000], [0.000, 0.000, 0.598], [0.000, 0.000, 0.402], [0.500, 0.500, 0.302]], "vol_a3_per_atom": 23.13, "mass_density_g_cm3": 8.0, "e_form_ev_per_atom": -0.331, "sg": "P4/mmm"}

***

Please write out number 3 again, unchanged.
{"formula": "Nd5DyZn6", "functional": "GGA-PBE", "state": "optimized geometry", "cell": [[4.902, -0.029, 1.643], [0.040, 7.337, 0.013], [0.000, -0.015, 8.215]], "species": ["Zn", "Nd", "Nd", "Dy", "Zn", "Nd", "Zn", "Zn", "Nd", "Zn", "Zn", "Nd"], "frac_coords": [[0.500, 0.758, 0.000], [0.668, 0.500, 0.664], [0.332, 0.500, 0.336], [0.000, 0.000, 0.000], [0.163, 0.754, 0.674], [0.666, 0.000, 0.668], [0.837, 0.754, 0.326], [0.500, 0.242, 0.000], [0.334, 0.000, 0.332], [0.837, 0.246, 0.326], [0.163, 0.246, 0.674], [0.000, 0.500, 0.000]], "vol_a3_per_atom": 24.63, "mass_density_g_cm3": 7.2, "e_form_ev_per_atom": -0.310, "sg": "P2/m"}